VASP calculation (GGA-PBE) on a geometry-optimized Co2CuNi structure.

Lattice parameters (Å, degrees): 4.316 4.312 3.571 65.60 65.50 48.90
Fractional coordinates of all 4 atoms:
Co1 0.000 0.000 0.000
Co2 0.250 0.250 0.250
Cu1 0.750 0.750 0.750
Ni1 0.500 0.500 0.500

## Properties
Polymorph energy (0 for the lowest one) ... 0.069 eV/atom
Total DFT energy (no corrections) ... -23.731 eV per cell
ΔH_f (0 K) ... 0.090 eV per atom
Space-group type ... F222, No. 22

VASP calculation (GGA-PBE) on a geometry-optimized Ti2MoRuC structure.

Lattice parameters (Å, degrees): 4.711 4.711 3.915 90.00 90.00 90.00
Fractional coordinates of all 5 atoms:
Ti1 0.000 0.500 0.000
Ti2 0.500 0.000 0.000
Mo1 0.000 0.000 0.000
Ru1 0.500 0.500 0.500
C1 0.000 0.000 0.500

## Properties
Total DFT energy (no corrections) ... -38.365 eV per cell
ΔH_f (0 K) ... 1.351 eV per atom
Space-group type ... P4/mmm, No. 123

VASP calculation (GGA-PBE) on a geometry-optimized ZnFeMo2 structure.

Lattice parameters (Å, degrees): 2.667 3.958 5.293 90.00 90.49 90.00
Fractional coordinates of all 4 atoms:
Zn1 0.000 0.000 0.000
Fe1 0.000 0.000 0.500
Mo1 0.498 0.500 0.740
Mo2 0.502 0.500 0.260

## Properties
Total DFT energy (no corrections) ... -30.771 eV per cell
ΔH_f (0 K) ... 0.157 eV per atom
Space-group type ... P2/m, No. 10

VASP calculation (GGA-PBE) on a geometry-optimized LaZnAu3 structure.

Lattice parameters (Å, degrees): 9.187 4.969 9.364 90.00 90.00 90.00
Fractional coordinates of all 20 atoms:
La1 0.237 0.250 0.004
La2 0.263 0.750 0.504
La3 0.737 0.250 0.496
La4 0.763 0.750 0.996
Zn1 0.097 0.250 0.662
Zn2 0.403 0.750 0.162
Zn3 0.597 0.250 0.838
Zn4 0.903 0.750 0.338
Au1 0.080 0.250 0.382
Au2 0.104 0.750 0.848
Au3 0.115 0.750 0.164
Au4 0.385 0.250 0.664
Au5 0.396 0.250 0.348
Au6 0.420 0.750 0.882
Au7 0.580 0.250 0.118
Au8 0.604 0.750 0.652
Au9 0.615 0.750 0.336
Au10 0.885 0.250 0.836
Au11 0.896 0.250 0.152
Au12 0.920 0.750 0.618

## Properties
Polymorph energy (0 for the lowest one) ... 0.000 eV/atom
Total DFT energy (no corrections) ... -75.970 eV per cell
ΔH_f (0 K) ... -0.592 eV per atom
Space-group type ... Pnma, No. 62